Here is an optimized crystal structure of Y8Ho2Tm from the Alexandria database. Energies are from PBE.

abc: 9.930 9.222 9.930
angles: 40.30 136.53 139.70
Fractional positions:
Y: 0.657 0.145 0.790
Tm: 0.000 0.000 0.000
Y: 0.671 0.720 0.329
Ho: 0.854 0.328 0.146
Y: 0.210 0.145 0.343
Y: 0.684 0.368 0.316
Y: 0.329 0.280 0.671
Y: 0.316 0.632 0.684
Ho: 0.146 0.672 0.854
Y: 0.343 0.855 0.210
Y: 0.790 0.855 0.657

Computed properties:
- Energy of formation: 0.13 eV/atom
- Energy above the most stable polymorph in this dataset: 0.000 eV/f.u.
- Density: 5.63 g/cm³
- E: -5.81 eV/atom